Compound: NbTl2Ir3O12
Source: the Alexandria database
Functional: PBE-GGA
Structure: relaxed

Output
The spin magnetization is 0.0000 μB/atom. For the density of states at the Fermi level, the calculation gives 14.98 states/eV/f.u. The raw formation energy is -1007 meV per atom.

a b c (Å): 7.339 7.339 7.339
angles (deg): 58.74 58.74 58.74
Fractional positions:
O: 0.071 0.071 0.672
O: 0.922 0.317 0.317
O: 0.317 0.922 0.317
O: 0.929 0.929 0.328
O: 0.071 0.672 0.071
O: 0.683 0.683 0.078
O: 0.328 0.929 0.929
O: 0.672 0.071 0.071
O: 0.317 0.317 0.922
O: 0.078 0.683 0.683
O: 0.929 0.328 0.929
O: 0.683 0.078 0.683
Ir: 0.500 0.000 0.000
Ir: 0.000 0.000 0.500
Ir: 0.000 0.500 0.000
Nb: 0.000 0.000 0.000
Tl: 0.375 0.375 0.375
Tl: 0.625 0.625 0.625

=====

Compound: ZnTc2Sb
Source: the Alexandria database
Functional: PBE-GGA
Structure: relaxed

Output
The spin magnetization is 0.1947 μB/atom. For the density of states at the Fermi level, the calculation gives 4.19 states/eV/f.u. The raw formation energy is 408 meV per atom.

a b c (Å): 3.111 4.843 4.359
angles (deg): 90.00 90.00 90.00
Site moments in Bohr magnetons follow the coordinates.
Fractional positions:
Tc: 0.500 0.500 0.000  0.23
Tc: 0.000 0.000 0.000  0.50
Zn: 0.500 0.000 0.500  0.00
Sb: 0.000 0.500 0.500  0.00

=====

Compound: SmAl3Ir
Source: the Alexandria database
Functional: PBE-GGA
Structure: relaxed

Output
The spin magnetization is 0.0000 μB/atom. For the density of states at the Fermi level, the calculation gives 1.71 states/eV/f.u. The calculation puts the calculated formation energy at -0.639 eV/atom.

a b c (Å): 4.816 6.202 6.930
angles (deg): 116.58 90.00 90.00
Fractional positions:
Al: 0.250 0.958 0.348
Al: 0.750 0.610 0.652
Al: 0.750 0.042 0.652
Al: 0.250 0.390 0.348
Al: 0.500 0.000 0.000
Al: 0.000 0.000 0.000
Ir: 0.750 0.182 0.364
Ir: 0.250 0.818 0.636
Sm: 0.750 0.598 0.197
Sm: 0.250 0.402 0.803

=====

Compound: TbAl2SiNi2
Source: the Alexandria database
Functional: PBE-GGA
Structure: relaxed

Output
The spin magnetization is 0.0000 μB/atom. For the density of states at the Fermi level, the calculation gives 3.22 states/eV/f.u. The raw formation energy is -445 meV per atom.

a b c (Å): 4.274 4.274 5.522
angles (deg): 90.00 90.00 90.00
Fractional positions:
Si: 0.000 0.000 0.000
Al: 0.500 0.500 0.258
Al: 0.500 0.500 0.742
Tb: 0.000 0.000 0.500
Ni: 0.000 0.500 0.000
Ni: 0.500 0.000 0.000

=====

Compound: SmThTlCu
Source: the Alexandria database
Functional: PBE-GGA
Structure: relaxed

Output
The spin magnetization is 0.1049 μB/atom. For the density of states at the Fermi level, the calculation gives 5.03 states/eV/f.u. The calculation puts the calculated formation energy at -0.086 eV/atom.

a b c (Å): 5.310 5.310 5.310
angles (deg): 60.00 60.00 60.00
Site moments in Bohr magnetons follow the coordinates.
Fractional positions:
Tl: 0.500 0.500 0.500  0.00
Cu: 0.000 0.000 0.000  0.01
Sm: 0.250 0.250 0.250  0.10
Th: 0.750 0.750 0.750  0.11

=====

Compound: Nd2GaH2O6
Source: the Alexandria database
Functional: PBE-GGA
Structure: relaxed

Output
The spin magnetization is 0.0376 μB/atom. For the raw total energy, the calculation gives -0.2325 hartree per atom. For the density of states at the Fermi level, the calculation gives 4.98 states/eV/f.u.

a b c (Å): 5.081 5.081 5.787
angles (deg): 63.96 63.96 60.00
Site moments in Bohr magnetons follow the coordinates.
Fractional positions:
Nd: 0.773 0.773 0.682  -0.01
Nd: 0.227 0.227 0.318  -0.01
O: 0.744 0.255 0.256  0.06
O: 0.256 0.256 0.744  0.06
O: 0.256 0.745 0.744  0.06
O: 0.745 0.256 0.744  0.06
O: 0.255 0.744 0.256  0.06
O: 0.744 0.744 0.256  0.06
H: 0.580 0.580 0.260  0.00
H: 0.420 0.420 0.740  0.00
Ga: 0.000 0.000 0.000  0.00

=====

Compound: Zr
Source: the Alexandria database
Functional: PBE-GGA
Structure: relaxed

Output
The spin magnetization is 0.0000 μB/atom. For the density of states at the Fermi level, the calculation gives 1.29 states/eV/f.u. The calculation puts the calculated formation energy at 0.298 eV/atom.

a b c (Å): 10.522 10.522 3.097
angles (deg): 90.00 90.00 120.00
Fractional positions:
Zr: 0.384 0.525 0.750
Zr: 0.287 0.228 0.250
Zr: 0.228 0.941 0.750
Zr: 0.059 0.287 0.750
Zr: 0.616 0.475 0.250
Zr: 0.941 0.713 0.250
Zr: 0.713 0.772 0.750
Zr: 0.772 0.059 0.250
Zr: 0.859 0.384 0.250
Zr: 0.475 0.859 0.750
Zr: 0.525 0.141 0.250
Zr: 0.141 0.616 0.750

=====

Compound: LiMg14BO15
Source: the Alexandria database
Functional: PBE-GGA
Structure: relaxed

Output
The spin magnetization is 0.0000 μB/atom. For the density of states at the Fermi level, the calculation gives 0.00 states/eV/f.u. The raw formation energy is -2417 meV per atom.

a b c (Å): 4.286 8.393 8.580
angles (deg): 90.00 90.00 90.00
Fractional positions:
O: 0.500 0.500 0.488
O: 0.500 0.249 0.253
O: 0.500 0.748 0.746
O: 0.000 0.000 0.273
O: 0.000 0.254 0.005
O: 0.000 0.500 0.267
O: 0.000 0.746 0.005
O: 0.500 0.000 0.998
O: 0.000 0.329 0.491
O: 0.000 0.500 0.772
O: 0.500 0.751 0.253
O: 0.500 0.252 0.746
O: 0.500 0.000 0.500
O: 0.000 0.671 0.491
O: 0.500 0.500 0.011
Li: 0.000 0.000 0.008
B: 0.000 0.500 0.440
Mg: 0.500 0.000 0.753
Mg: 0.500 0.500 0.745
Mg: 0.500 0.000 0.248
Mg: 0.000 0.500 0.001
Mg: 0.000 0.757 0.242
Mg: 0.500 0.500 0.249
Mg: 0.500 0.244 0.000
Mg: 0.500 0.756 0.000
Mg: 0.000 0.000 0.509
Mg: 0.500 0.735 0.499
Mg: 0.000 0.243 0.242
Mg: 0.000 0.735 0.757
Mg: 0.500 0.265 0.499
Mg: 0.000 0.265 0.757

=====

Compound: SrLi2Te2
Source: the Alexandria database
Functional: PBE-GGA
Structure: relaxed

Output
The spin magnetization is 0.0000 μB/atom. For the density of states at the Fermi level, the calculation gives 0.00 states/eV/f.u. The raw formation energy is -1227 meV per atom.

a b c (Å): 4.274 4.274 7.852
angles (deg): 74.21 74.21 90.00
Fractional positions:
Li: 0.750 0.250 0.500
Li: 0.250 0.750 0.500
Sr: 0.000 0.000 0.000
Te: 0.630 0.630 0.741
Te: 0.370 0.370 0.259

=====

Compound: FeSiAs2
Source: the Alexandria database
Functional: PBE-GGA
Structure: relaxed

Output
The spin magnetization is 0.3761 μB/atom. For the density of states at the Fermi level, the calculation gives 1.86 states/eV/f.u. The raw formation energy is 251 meV per atom.

a b c (Å): 8.791 8.791 8.791
angles (deg): 19.35 19.35 19.35
Site moments in Bohr magnetons follow the coordinates.
Fractional positions:
As: 0.984 0.984 0.984  -0.02
As: 0.516 0.516 0.516  -0.02
Si: 0.750 0.750 0.750  0.00
Fe: 0.250 0.250 0.250  1.56

=====

Compound: DyU3P4
Source: the Alexandria database
Functional: PBE-GGA
Structure: relaxed

Output
The spin magnetization is 0.8227 μB/atom. For the density of states at the Fermi level, the calculation gives 15.95 states/eV/f.u. The calculation puts the calculated formation energy at -1.126 eV/atom.

a b c (Å): 3.928 6.860 6.860
angles (deg): 70.85 90.00 90.00
Site moments in Bohr magnetons follow the coordinates.
Fractional positions:
U: 0.000 0.500 0.500  2.00
U: 0.500 0.000 0.500  2.00
U: 0.000 0.000 0.000  2.00
Dy: 0.500 0.500 0.000  -0.01
P: 0.500 0.751 0.251  -0.07
P: 0.500 0.249 0.749  -0.07
P: 0.000 0.247 0.253  -0.06
P: 0.000 0.753 0.747  -0.06

=====

Compound: NaTePbN2
Source: the Alexandria database
Functional: PBE-GGA
Structure: relaxed

Output
The spin magnetization is 0.6656 μB/atom. For the density of states at the Fermi level, the calculation gives 1.41 states/eV/f.u. The raw formation energy is 1218 meV per atom.

a b c (Å): 4.652 4.652 6.296
angles (deg): 90.00 90.00 90.00
Site moments in Bohr magnetons follow the coordinates.
Fractional positions:
N: 0.000 0.500 0.000  1.02
N: 0.500 0.000 0.000  1.02
Pb: 0.000 0.000 0.000  -0.08
Te: 0.000 0.000 0.500  0.22
Na: 0.500 0.500 0.500  0.00

=====

Compound: Y2NbTlHg
Source: the Alexandria database
Functional: PBE-GGA
Structure: relaxed

Output
The spin magnetization is 0.6991 μB/atom. For the density of states at the Fermi level, the calculation gives 6.11 states/eV/f.u. The calculation puts the calculated formation energy at 0.967 eV/atom.

a b c (Å): 5.610 5.309 5.610
angles (deg): 90.00 90.00 90.00
Site moments in Bohr magnetons follow the coordinates.
Fractional positions:
Hg: 0.000 0.000 0.000  -0.01
Tl: 0.000 0.500 0.000  -0.03
Y: 0.000 0.000 0.500  0.09
Y: 0.500 0.000 0.000  0.04
Nb: 0.500 0.500 0.500  2.47

=====

Compound: Rb2Ba2Bi4Pd
Source: the Alexandria database
Functional: PBE-GGA
Structure: relaxed

Output
The spin magnetization is 0.0000 μB/atom. For the density of states at the Fermi level, the calculation gives 3.34 states/eV/f.u. The calculation puts the calculated formation energy at -0.479 eV/atom.

a b c (Å): 7.777 7.777 7.777
angles (deg): 93.22 118.16 118.16
Fractional positions:
Rb: 0.000 0.707 0.707
Rb: 0.000 0.293 0.293
Ba: 0.500 0.250 0.750
Ba: 0.500 0.750 0.250
Bi: 0.000 0.759 0.241
Bi: 0.000 0.241 0.759
Bi: 0.482 0.241 0.241
Bi: 0.518 0.759 0.759
Pd: 0.000 0.000 0.000

=====

Compound: ZnGeOs3
Source: the Alexandria database
Functional: PBE-GGA
Structure: relaxed

Output
The spin magnetization is 0.3411 μB/atom. For the density of states at the Fermi level, the calculation gives 7.09 states/eV/f.u. The calculation puts the calculated formation energy at 2.135 eV/atom.

a b c (Å): 4.500 4.500 4.500
angles (deg): 90.00 90.00 90.00
Site moments in Bohr magnetons follow the coordinates.
Fractional positions:
Zn: 0.000 0.000 0.000  0.02
Os: 0.000 0.000 0.500  0.58
Os: 0.500 0.000 0.000  0.48
Os: 0.000 0.500 0.000  0.51
Ge: 0.500 0.500 0.500  0.01

=====

Compound: CrMoCl2
Source: the Alexandria database
Functional: PBE-GGA
Structure: relaxed

Output
The spin magnetization is 0.2286 μB/atom. For the density of states at the Fermi level, the calculation gives 2.01 states/eV/f.u. The raw formation energy is 505 meV per atom.

a b c (Å): 6.062 6.062 6.062
angles (deg): 144.51 144.51 51.06
Site moments in Bohr magnetons follow the coordinates.
Fractional positions:
Cr: 0.500 0.500 0.000  3.93
Cl: 0.000 0.000 0.000  -0.06
Cl: 0.250 0.750 0.500  -0.01
Mo: 0.750 0.250 0.500  -2.93

=====

Compound: Ca2TmAl9
Source: the Alexandria database
Functional: PBE-GGA
Structure: relaxed

Output
The spin magnetization is 0.0000 μB/atom. For the density of states at the Fermi level, the calculation gives 6.99 states/eV/f.u. The calculation puts the calculated formation energy at -0.250 eV/atom.

a b c (Å): 5.572 5.572 9.500
angles (deg): 72.95 72.95 60.00
Fractional positions:
Al: 0.584 0.077 0.755
Al: 0.077 0.584 0.755
Al: 0.665 0.665 0.005
Al: 0.584 0.584 0.755
Al: 0.500 0.500 0.500
Al: 0.416 0.923 0.245
Al: 0.923 0.416 0.245
Al: 0.416 0.416 0.245
Al: 0.335 0.335 0.995
Ca: 0.142 0.142 0.574
Ca: 0.858 0.858 0.426
Tm: 0.000 0.000 0.000

=====

Compound: NaAcH2F6
Source: the Alexandria database
Functional: PBE-GGA
Structure: relaxed

Output
The spin magnetization is 0.0000 μB/atom. For the raw total energy, the calculation gives -0.1916 hartree per atom. For the density of states at the Fermi level, the calculation gives 0.00 states/eV/f.u.

a b c (Å): 6.297 6.297 7.518
angles (deg): 107.25 107.25 97.57
Fractional positions:
F: 0.309 0.550 0.042
F: 0.980 0.625 0.672
F: 0.799 0.864 0.833
F: 0.020 0.375 0.328
F: 0.450 0.691 0.458
F: 0.136 0.201 0.667
F: 0.625 0.980 0.172
F: 0.201 0.136 0.167
F: 0.864 0.799 0.333
F: 0.550 0.309 0.542
F: 0.691 0.450 0.958
F: 0.375 0.020 0.828
Na: 0.190 0.810 0.250
Na: 0.810 0.190 0.750
Ac: 0.399 0.601 0.750
Ac: 0.601 0.399 0.250
H: 0.249 0.104 0.742
H: 0.896 0.751 0.758
H: 0.751 0.896 0.258
H: 0.104 0.249 0.242

=====

Compound: InFeSb2H
Source: the Alexandria database
Functional: PBE-GGA
Structure: relaxed

Output
The spin magnetization is 0.1548 μB/atom. For the raw total energy, the calculation gives -0.1047 hartree per atom. For the density of states at the Fermi level, the calculation gives 11.06 states/eV/f.u.

a b c (Å): 5.602 4.929 5.602
angles (deg): 90.00 90.00 90.00
Site moments in Bohr magnetons follow the coordinates.
Fractional positions:
Sb: 0.500 0.000 0.000  -0.05
Sb: 0.000 0.000 0.500  -0.01
Fe: 0.000 0.500 0.000  0.15
H: 0.500 0.500 0.500  -0.33
In: 0.000 0.000 0.000  0.00

=====

Compound: Ti2NbPt
Source: the Alexandria database
Functional: PBE-GGA
Structure: relaxed

Output
The spin magnetization is 0.0000 μB/atom. For the density of states at the Fermi level, the calculation gives 6.10 states/eV/f.u. The calculation puts the calculated formation energy at 0.039 eV/atom.

a b c (Å): 3.830 3.830 10.096
angles (deg): 79.07 79.07 90.00
Fractional positions:
Ti: 0.124 0.625 0.250
Ti: 0.375 0.374 0.750
Ti: 0.626 0.125 0.250
Ti: 0.875 0.876 0.750
Nb: 0.250 0.750 0.500
Nb: 0.500 0.500 0.000
Pt: 0.750 0.250 0.500
Pt: 0.000 0.000 0.000